## Te2AsBrN (PBE-GGA)

Data for a relaxed Te2AsBrN crystal.

Cell lengths 5.7416, 5.7416, 3.7273 Å; angles 90.00, 90.00, 90.00 degrees
Atoms (fractional coordinates):
As  0.5000  0.5000  0.5000
Te  0.0000  0.5000  0.0000
Te  0.5000  0.0000  0.0000
Br  0.0000  0.0000  0.0000
N  0.0000  0.0000  0.5000

Output
- E_form (uncorrected) (eV per formula unit) = 7.4
- space-group type = P4/mmm (123)
- excess energy over the best structure of this formula in the dataset (meV/atom) = 638
- density (g/cm³) = 5.7
- total DFT energy (no corrections) (eV/f.u.) = -13.5
- DOS(E_F) (states/eV/f.u.) = 3.950

---

## TeAsBrN2 (PBE-GGA)

Data for a relaxed TeAsBrN2 crystal.

Cell lengths 3.9655, 3.9655, 8.4277 Å; angles 90.00, 90.00, 90.00 degrees
Atoms (fractional coordinates):
As  0.5000  0.5000  0.5000
Te  0.0000  0.0000  0.5000
Br  0.0000  0.0000  0.0000
N  0.0000  0.5000  0.0000
N  0.5000  0.0000  0.0000

Output
- E_form (uncorrected) (eV per formula unit) = 10.3
- space-group type = P4/mmm (123)
- excess energy over the best structure of this formula in the dataset (meV/atom) = 687
- density (g/cm³) = 3.9
- total DFT energy (no corrections) (eV/f.u.) = -15.8
- DOS(E_F) (states/eV/f.u.) = 4.517

---

## Te2AsBrN (PBE-GGA)

Data for a relaxed Te2AsBrN crystal.

Cell lengths 5.9011, 5.9011, 3.5909 Å; angles 90.00, 90.00, 90.00 degrees
Atoms (fractional coordinates):
As  0.0000  0.0000  0.0000
Te  0.0000  0.5000  0.0000
Te  0.5000  0.0000  0.0000
Br  0.5000  0.5000  0.5000
N  0.0000  0.0000  0.5000

Output
- E_form (uncorrected) (eV per formula unit) = 4.3
- space-group type = P4/mmm (123)
- excess energy over the best structure of this formula in the dataset (meV/atom) = 0
- density (g/cm³) = 5.6
- total DFT energy (no corrections) (eV/f.u.) = -16.7
- DOS(E_F) (states/eV/f.u.) = 6.728

---

## TeAsBr2N (PBE-GGA)

Data for a relaxed TeAsBr2N crystal.

Cell lengths 5.3949, 5.3949, 5.6929 Å; angles 90.00, 90.00, 90.00 degrees
Atoms (fractional coordinates):
As  0.0000  0.0000  0.5000
Te  0.0000  0.0000  0.0000
Br  0.0000  0.5000  0.0000
Br  0.5000  0.0000  0.0000
N  0.5000  0.5000  0.5000

Output
- E_form (uncorrected) (eV per formula unit) = 8.7
- space-group type = P4/mmm (123)
- excess energy over the best structure of this formula in the dataset (meV/atom) = 757
- density (g/cm³) = 3.8
- total DFT energy (no corrections) (eV/f.u.) = -10.8
- DOS(E_F) (states/eV/f.u.) = 11.287

---

## TeAsBrN2 (PBE-GGA)

Data for a relaxed TeAsBrN2 crystal.

Cell lengths 3.9225, 3.9225, 6.1892 Å; angles 90.00, 90.00, 90.00 degrees
Atoms (fractional coordinates):
As  0.0000  0.0000  0.0000
Te  0.0000  0.0000  0.5000
Br  0.5000  0.5000  0.5000
N  0.0000  0.5000  0.0000
N  0.5000  0.0000  0.0000

Output
- E_form (uncorrected) (eV per formula unit) = 6.8
- space-group type = P4/mmm (123)
- excess energy over the best structure of this formula in the dataset (meV/atom) = 0
- density (g/cm³) = 5.4
- total DFT energy (no corrections) (eV/f.u.) = -19.3
- DOS(E_F) (states/eV/f.u.) = 3.283

---

## TiAs2BrN (PBE-GGA)

Data for a relaxed TiAs2BrN crystal.

Cell lengths 4.9067, 4.9067, 5.2047 Å; angles 90.00, 90.00, 90.00 degrees
Atoms (fractional coordinates):
As  0.0000  0.5000  0.0000
As  0.5000  0.0000  0.0000
N  0.5000  0.5000  0.5000
Br  0.0000  0.0000  0.5000
Ti  0.0000  0.0000  0.0000

Output
- E_form (uncorrected) (eV per formula unit) = 4.8
- space-group type = P4/mmm (123)
- excess energy over the best structure of this formula in the dataset (meV/atom) = 233
- density (g/cm³) = 3.9
- total DFT energy (no corrections) (eV/f.u.) = -22.4
- DOS(E_F) (states/eV/f.u.) = 4.533